Record 1
# PBE La2SbRh2, relaxed
data_La2SbRh2
_cell_length_a 7.623
_cell_length_b 7.623
_cell_length_c 4.040
_cell_angle_alpha 90.00
_cell_angle_beta 90.00
_cell_angle_gamma 90.00
_symmetry_space_group_name_H-M 'P 4/m b m'
_symmetry_Int_Tables_number 127
_symmetry_space_group_name_Hall '-P 4 2ab'
loop_
_atom_site_label
_atom_site_type_symbol
_atom_site_fract_x
_atom_site_fract_y
_atom_site_fract_z
La1 La 0.176 0.324 0.000
Sb1 Sb 0.000 0.000 0.500
Rh1 Rh 0.134 0.634 0.500
# Total magnetic moment in μB/cell: 0.00
# DOS at the Fermi energy in states/eV per atom: 0.54
# Energy above the lowest structure with this stoichiometry in eV per atom: 0.048
# Volume in Å³ per cell: 234.80



Record 2
# PBE CrAgAu2, relaxed
data_CrAgAu2
_cell_length_a 3.0021
_cell_length_b 3.0021
_cell_length_c 27.1305
_cell_angle_alpha 90.00
_cell_angle_beta 90.00
_cell_angle_gamma 120.00
_symmetry_space_group_name_H-M 'R -3 m'
_symmetry_Int_Tables_number 166
_symmetry_space_group_name_Hall '-R 3 2"'
loop_
_atom_site_label
_atom_site_type_symbol
_atom_site_fract_x
_atom_site_fract_y
_atom_site_fract_z
Cr1 Cr 0.0000 0.0000 0.0000
Ag1 Ag 0.0000 0.0000 0.5000
Au1 Au 0.0000 0.0000 0.2541
# Total magnetic moment in μB/cell: 11.83
# DOS at the Fermi energy in states/eV per atom: 0.60
# Volume in Å³ per cell: 211.75
# Total DFT energy (no corrections) in eV per cell: -54.77



Record 3
# PBE Zn2CuBr, relaxed
data_Zn2CuBr
_cell_length_a 8.427
_cell_length_b 3.527
_cell_length_c 6.581
_cell_angle_alpha 90.00
_cell_angle_beta 117.99
_cell_angle_gamma 90.00
_symmetry_space_group_name_H-M 'C 1 m 1'
_symmetry_Int_Tables_number 8
_symmetry_space_group_name_Hall 'C -2y'
loop_
_atom_site_label
_atom_site_type_symbol
_atom_site_fract_x
_atom_site_fract_y
_atom_site_fract_z
Zn1 Zn 0.000 0.000 0.000
Zn2 Zn 0.147 0.500 0.842
Cu1 Cu 0.338 0.000 0.115
Br1 Br 0.478 0.500 0.467
# Total magnetic moment in μB/cell: 0.00
# DOS at the Fermi energy in states/eV per atom: 0.25
# Energy above the lowest structure with this stoichiometry in eV per atom: 0.042
# Volume in Å³ per cell: 172.74



Record 4
# PBE Pu2ZrRh, relaxed
data_Pu2ZrRh
_cell_length_a 3.979
_cell_length_b 3.979
_cell_length_c 5.299
_cell_angle_alpha 90.00
_cell_angle_beta 90.00
_cell_angle_gamma 90.00
_symmetry_space_group_name_H-M 'P 4/m m m'
_symmetry_Int_Tables_number 123
_symmetry_space_group_name_Hall '-P 4 2'
loop_
_atom_site_label
_atom_site_type_symbol
_atom_site_fract_x
_atom_site_fract_y
_atom_site_fract_z
Pu1 Pu 0.000 0.500 0.000
Zr1 Zr 0.000 0.000 0.500
Rh1 Rh 0.500 0.500 0.500
# Total magnetic moment in μB/cell: 10.91
# DOS at the Fermi energy in states/eV per atom: 2.43
# Energy above the lowest structure with this stoichiometry in eV per atom: 0.000
# Volume in Å³ per cell: 83.90



Record 5
# PBE TaFe2Ir, relaxed
data_TaFe2Ir
_cell_length_a 6.050
_cell_length_b 6.050
_cell_length_c 6.050
_cell_angle_alpha 90.00
_cell_angle_beta 90.00
_cell_angle_gamma 90.00
_symmetry_space_group_name_H-M 'F m -3 m'
_symmetry_Int_Tables_number 225
_symmetry_space_group_name_Hall '-F 4 2 3'
loop_
_atom_site_label
_atom_site_type_symbol
_atom_site_fract_x
_atom_site_fract_y
_atom_site_fract_z
Ta1 Ta 0.000 0.000 0.000
Fe1 Fe 0.250 0.250 0.250
Ir1 Ir 0.000 0.000 0.500
# Total magnetic moment in μB/cell: 17.26
# DOS at the Fermi energy in states/eV per atom: 1.36
# Energy above the lowest structure with this stoichiometry in eV per atom: 0.132
# Volume in Å³ per cell: 221.40



Record 6
# PBE Ta2ZnCu, relaxed
data_Ta2ZnCu
_cell_length_a 2.8156
_cell_length_b 2.8156
_cell_length_c 28.3457
_cell_angle_alpha 90.00
_cell_angle_beta 90.00
_cell_angle_gamma 120.00
_symmetry_space_group_name_H-M 'R 3 m'
_symmetry_Int_Tables_number 160
_symmetry_space_group_name_Hall 'R 3 -2"'
loop_
_atom_site_label
_atom_site_type_symbol
_atom_site_fract_x
_atom_site_fract_y
_atom_site_fract_z
Ta1 Ta 0.0000 0.0000 0.0000
Ta2 Ta 0.0000 0.0000 0.2403
Zn1 Zn 0.0000 0.0000 0.7530
Cu1 Cu 0.0000 0.0000 0.4927
# Total magnetic moment in μB/cell: 0.00
# DOS at the Fermi energy in states/eV per atom: 0.54
# Volume in Å³ per cell: 194.60
# Total DFT energy (no corrections) in eV per cell: -85.19



Record 7
# PBE AlAg2Bi, relaxed
data_AlAg2Bi
_cell_length_a 7.029
_cell_length_b 7.029
_cell_length_c 7.029
_cell_angle_alpha 90.00
_cell_angle_beta 90.00
_cell_angle_gamma 90.00
_symmetry_space_group_name_H-M 'F m -3 m'
_symmetry_Int_Tables_number 225
_symmetry_space_group_name_Hall '-F 4 2 3'
loop_
_atom_site_label
_atom_site_type_symbol
_atom_site_fract_x
_atom_site_fract_y
_atom_site_fract_z
Al1 Al 0.000 0.000 0.000
Ag1 Ag 0.250 0.250 0.250
Bi1 Bi 0.000 0.000 0.500
# Total magnetic moment in μB/cell: 0.00
# DOS at the Fermi energy in states/eV per atom: 0.36
# Energy above the lowest structure with this stoichiometry in eV per atom: 0.116
# Volume in Å³ per cell: 347.27



Record 8
# PBE Rb2ErSb2Te6, relaxed
data_Rb2ErSb2Te6
_cell_length_a 7.615
_cell_length_b 13.170
_cell_length_c 9.273
_cell_angle_alpha 90.00
_cell_angle_beta 106.41
_cell_angle_gamma 90.00
_symmetry_space_group_name_H-M 'C 1 2/m 1'
_symmetry_Int_Tables_number 12
_symmetry_space_group_name_Hall '-C 2y'
loop_
_atom_site_label
_atom_site_type_symbol
_atom_site_fract_x
_atom_site_fract_y
_atom_site_fract_z
Rb1 Rb 0.000 0.167 0.000
Er1 Er 0.000 0.000 0.500
Sb1 Sb 0.000 0.331 0.500
Te1 Te 0.233 0.500 0.693
Te2 Te 0.234 0.166 0.695
# Total magnetic moment in μB/cell: 0.00
# DOS at the Fermi energy in states/eV per atom: 0.57
# Volume in Å³ per cell: 892.15
# Total DFT energy (no corrections) in eV per cell: -82.16



Record 9
# PBE AcSbPd3, relaxed
data_AcSbPd3
_cell_length_a 5.636
_cell_length_b 9.290
_cell_length_c 8.874
_cell_angle_alpha 90.00
_cell_angle_beta 90.00
_cell_angle_gamma 90.00
_symmetry_space_group_name_H-M 'I m m a'
_symmetry_Int_Tables_number 74
_symmetry_space_group_name_Hall '-I 2b 2'
loop_
_atom_site_label
_atom_site_type_symbol
_atom_site_fract_x
_atom_site_fract_y
_atom_site_fract_z
Ac1 Ac 0.000 0.250 0.030
Sb1 Sb 0.000 0.000 0.500
Pd1 Pd 0.000 0.250 0.661
Pd2 Pd 0.250 0.005 0.250
# Total magnetic moment in μB/cell: 0.00
# DOS at the Fermi energy in states/eV per atom: 0.50
# Energy above the lowest structure with this stoichiometry in eV per atom: 0.000
# Volume in Å³ per cell: 464.65



Record 10
# PBE GaSn, relaxed
data_GaSn
_cell_length_a 3.128
_cell_length_b 3.785
_cell_length_c 4.495
_cell_angle_alpha 83.62
_cell_angle_beta 69.74
_cell_angle_gamma 74.25
_symmetry_space_group_name_H-M 'P 1'
_symmetry_Int_Tables_number 1
_symmetry_space_group_name_Hall 'P 1'
loop_
_atom_site_label
_atom_site_type_symbol
_atom_site_fract_x
_atom_site_fract_y
_atom_site_fract_z
Ga1 Ga 0.000 0.000 0.000
Sn1 Sn 0.307 0.507 0.474
# Total magnetic moment in μB/cell: 0.00
# DOS at the Fermi energy in states/eV per atom: 0.32
# Volume in Å³ per cell: 48.04
# Total DFT energy (no corrections) in eV per cell: -6.91



Record 11
# PBE LaPr2Er8, relaxed
data_LaPr2Er8
_cell_length_a 9.060
_cell_length_b 16.053
_cell_length_c 5.905
_cell_angle_alpha 90.00
_cell_angle_beta 122.38
_cell_angle_gamma 90.00
_symmetry_space_group_name_H-M 'C 1 2/m 1'
_symmetry_Int_Tables_number 12
_symmetry_space_group_name_Hall '-C 2y'
loop_
_atom_site_label
_atom_site_type_symbol
_atom_site_fract_x
_atom_site_fract_y
_atom_site_fract_z
La1 La 0.000 0.000 0.000
Pr1 Pr 0.000 0.306 0.500
Er1 Er 0.000 0.211 0.000
Er2 Er 0.069 0.500 0.795
Er3 Er 0.214 0.116 0.673
# Total magnetic moment in μB/cell: 0.00
# DOS at the Fermi energy in states/eV per atom: 1.46
# Energy above the lowest structure with this stoichiometry in eV per atom: 0.000
# Volume in Å³ per cell: 725.39



Question: Among the records above, which one has the lowest DOS at the Fermi energy?
Answer: Zn2CuBr



Question: What is the total magnetic moment in the fourth record?
Answer: 10.91 μB/cell



Repeat the first record exactly.
# PBE La2SbRh2, relaxed
data_La2SbRh2
_cell_length_a 7.623
_cell_length_b 7.623
_cell_length_c 4.040
_cell_angle_alpha 90.00
_cell_angle_beta 90.00
_cell_angle_gamma 90.00
_symmetry_space_group_name_H-M 'P 4/m b m'
_symmetry_Int_Tables_number 127
_symmetry_space_group_name_Hall '-P 4 2ab'
loop_
_atom_site_label
_atom_site_type_symbol
_atom_site_fract_x
_atom_site_fract_y
_atom_site_fract_z
La1 La 0.176 0.324 0.000
Sb1 Sb 0.000 0.000 0.500
Rh1 Rh 0.134 0.634 0.500
# Total magnetic moment in μB/cell: 0.00
# DOS at the Fermi energy in states/eV per atom: 0.54
# Energy above the lowest structure with this stoichiometry in eV per atom: 0.048
# Volume in Å³ per cell: 234.80